1.
Material: Ta2InCu
Method: DFT, GGA-PBE
State: optimized geometry

Values from the calculation:
As for the density of states at the Fermi level: 3.1 states/eV/f.u. As for the symmetry: R-3m (166). The energy relative to the elements is 0.33 eV per atom. The value obtained for the electronic total energy is -7.308 eV/atom.

Cell: 2.950 2.950 28.666 Å, 90.00 90.00 120.00°
Fractional positions:
Ta: 0.000 0.000 0.244
Ta: 0.000 0.000 0.756
Ta: 0.333 0.667 0.423
Ta: 0.333 0.667 0.911
Ta: 0.667 0.333 0.089
Ta: 0.667 0.333 0.577
In: 0.000 0.000 0.000
In: 0.333 0.667 0.667
In: 0.667 0.333 0.333
Cu: 0.000 0.000 0.500
Cu: 0.333 0.667 0.167
Cu: 0.667 0.333 0.833

***

2.
Material: PuTl3Pd12
Method: DFT, GGA-PBE
State: optimized geometry

Values from the calculation:
As for the density of states at the Fermi level: 23.1 states/eV/f.u. As for the symmetry: P4/mmm (123). The energy relative to the elements is -0.29 eV per atom. The value obtained for the electronic total energy is -5.523 eV/atom.

Cell: 4.100 4.100 16.415 Å, 90.00 90.00 90.00°
Fractional positions:
Pu: 0.000 0.000 0.000
Tl: 0.000 0.000 0.254
Tl: 0.000 0.000 0.500
Tl: 0.000 0.000 0.746
Pd: 0.000 0.500 0.124
Pd: 0.000 0.500 0.376
Pd: 0.000 0.500 0.624
Pd: 0.000 0.500 0.876
Pd: 0.500 0.000 0.124
Pd: 0.500 0.000 0.376
Pd: 0.500 0.000 0.624
Pd: 0.500 0.000 0.876
Pd: 0.500 0.500 0.000
Pd: 0.500 0.500 0.249
Pd: 0.500 0.500 0.500
Pd: 0.500 0.500 0.751